(1)
Material: MgTi3Hg
Method: DFT, PBE
State: relaxed

Cell: 5.029 5.029 5.029 Å, 90.00 90.00 90.00°
Atoms (fractional coordinates):
Mg: 0.000 0.000 0.000
Ti: 0.000 0.500 0.500
Ti: 0.500 0.000 0.500
Ti: 0.500 0.500 0.000
Hg: 0.500 0.500 0.500

Its space group is Pm-3m (221). The density comes out at 4.81 g/cm³. The density of states at the Fermi level is 3.13 states/eV/cell. The distance to the lowest polymorph of the same formula comes out at 0.00 eV per formula unit. The calculation puts the calculated volume at 25.436 Å³/atom.

=====

(2)
Material: Mg3TiHg
Method: DFT, PBE
State: relaxed

Cell: 5.132 5.132 5.132 Å, 90.00 90.00 90.00°
Atoms (fractional coordinates):
Mg: 0.000 0.000 0.500
Mg: 0.000 0.500 0.000
Mg: 0.500 0.000 0.000
Ti: 0.500 0.500 0.500
Hg: 0.000 0.000 0.000

Its space group is Pm-3m (221). The density comes out at 3.95 g/cm³. The density of states at the Fermi level is 2.65 states/eV/cell. The distance to the lowest polymorph of the same formula comes out at 0.00 eV per formula unit. The calculation puts the calculated volume at 27.032 Å³/atom.

=====

(3)
Material: MgTiHg
Method: DFT, PBE
State: relaxed

Cell: 4.550 4.550 10.825 Å, 90.00 90.00 120.00°
Atoms (fractional coordinates):
Mg: 0.333 0.667 0.250
Mg: 0.667 0.333 0.750
Ti: 0.000 0.000 0.000
Ti: 0.000 0.000 0.500
Hg: 0.000 0.000 0.250
Hg: 0.000 0.000 0.750

Its space group is P6_3/mmc (194). Its calculated total energy is -13.603 eV/cell. The density comes out at 4.67 g/cm³. The density of states at the Fermi level is 10.04 states/eV/cell. The calculation puts the calculated volume at 32.342 Å³/atom.

=====

(4)
Material: Mg3TiHg
Method: DFT, PBE
State: relaxed

Cell: 5.535 5.535 5.535 Å, 90.00 90.00 90.00°
Atoms (fractional coordinates):
Mg: 0.000 0.000 0.500
Mg: 0.000 0.500 0.000
Mg: 0.500 0.000 0.000
Ti: 0.000 0.000 0.000
Hg: 0.500 0.500 0.500

Its space group is Pm-3m (221). The density comes out at 3.15 g/cm³. The density of states at the Fermi level is 7.51 states/eV/cell. The distance to the lowest polymorph of the same formula comes out at 1.60 eV per formula unit. The calculation puts the calculated volume at 33.913 Å³/atom.

=====

(5)
Material: Mg2TiHgW
Method: DFT, PBE
State: relaxed

Cell: 5.261 5.261 4.598 Å, 90.00 90.00 90.00°
Atoms (fractional coordinates):
Mg: 0.000 0.500 0.000
Mg: 0.500 0.000 0.000
Ti: 0.000 0.000 0.500
Hg: 0.500 0.500 0.500
W: 0.000 0.000 0.000

Its space group is P4/mmm (123). Its calculated total energy is -19.642 eV/cell. The density comes out at 6.27 g/cm³. The density of states at the Fermi level is 5.16 states/eV/cell. The calculation puts the calculated volume at 25.453 Å³/atom.

=====

(6)
Material: MgTiZnHg
Method: DFT, PBE
State: relaxed

Cell: 4.680 4.680 4.680 Å, 60.00 60.00 60.00°
Atoms (fractional coordinates):
Mg: 0.000 0.000 0.000
Ti: 0.500 0.500 0.500
Zn: 0.750 0.750 0.750
Hg: 0.250 0.250 0.250

Its space group is F-43m (216). Its calculated total energy is -11.279 eV/cell. The density comes out at 7.75 g/cm³. The density of states at the Fermi level is 2.46 states/eV/cell. The calculation puts the calculated volume at 18.119 Å³/atom.

=====

(7)
Material: Mg12Tl3Hg
Method: DFT, PBE
State: relaxed

Cell: 4.495 4.495 18.023 Å, 90.00 90.00 90.00°
Atoms (fractional coordinates):
Mg: 0.000 0.000 0.000
Mg: 0.000 0.000 0.246
Mg: 0.000 0.000 0.500
Mg: 0.000 0.000 0.754
Mg: 0.000 0.500 0.119
Mg: 0.000 0.500 0.373
Mg: 0.000 0.500 0.627
Mg: 0.000 0.500 0.881
Mg: 0.500 0.000 0.119
Mg: 0.500 0.000 0.373
Mg: 0.500 0.000 0.627
Mg: 0.500 0.000 0.881
Tl: 0.500 0.500 0.246
Tl: 0.500 0.500 0.500
Tl: 0.500 0.500 0.754
Hg: 0.500 0.500 0.000

Its space group is P4/mmm (123). Its calculated total energy is -27.515 eV/cell. The density comes out at 5.04 g/cm³. The density of states at the Fermi level is 6.78 states/eV/cell. The calculation puts the calculated volume at 22.756 Å³/atom.

=====

(8)
Material: MgTlHg2
Method: DFT, PBE
State: relaxed

Cell: 5.729 5.729 5.729 Å, 132.35 132.35 69.67°
Atoms (fractional coordinates):
Mg: 0.000 0.000 0.000
Tl: 0.500 0.500 0.000
Hg: 0.250 0.750 0.500
Hg: 0.750 0.250 0.500

Its space group is I4/mmm (139). Its calculated total energy is -4.734 eV/cell. The density comes out at 10.38 g/cm³. The density of states at the Fermi level is 1.24 states/eV/cell. The calculation puts the calculated volume at 25.182 Å³/atom.

=====

(9)
Material: MgTl2Hg2
Method: DFT, PBE
State: relaxed

Cell: 11.184 11.184 11.184 Å, 162.24 162.24 25.22°
Atoms (fractional coordinates):
Mg: 0.000 0.000 0.000
Tl: 0.189 0.189 0.000
Tl: 0.811 0.811 0.000
Hg: 0.419 0.419 0.000
Hg: 0.581 0.581 0.000

Its space group is I4/mmm (139). The density comes out at 10.64 g/cm³. The density of states at the Fermi level is 2.36 states/eV/cell. The distance to the lowest polymorph of the same formula comes out at 0.00 eV per formula unit. The calculation puts the calculated volume at 26.030 Å³/atom.

=====

(10)
Material: Mg2Tl2Hg
Method: DFT, PBE
State: relaxed

Cell: 7.525 7.525 4.582 Å, 90.00 90.00 90.00°
Atoms (fractional coordinates):
Mg: 0.147 0.353 0.000
Mg: 0.353 0.853 0.000
Mg: 0.647 0.147 0.000
Mg: 0.853 0.647 0.000
Tl: 0.160 0.660 0.500
Tl: 0.340 0.160 0.500
Tl: 0.660 0.840 0.500
Tl: 0.840 0.340 0.500
Hg: 0.000 0.000 0.000
Hg: 0.500 0.500 0.000

Its space group is P4/mbm (127). The density comes out at 8.42 g/cm³. The density of states at the Fermi level is 4.23 states/eV/cell. The distance to the lowest polymorph of the same formula comes out at 0.00 eV per formula unit. The calculation puts the calculated volume at 25.942 Å³/atom.

=====

(11)
Material: MgTlHg2
Method: DFT, PBE
State: relaxed

Cell: 5.046 5.046 3.994 Å, 90.00 90.00 90.00°
Atoms (fractional coordinates):
Mg: 0.000 0.000 0.000
Tl: 0.500 0.500 0.000
Hg: 0.000 0.500 0.500
Hg: 0.500 0.000 0.500

Its space group is P4/mmm (123). Its calculated total energy is -4.791 eV/cell. The density comes out at 10.29 g/cm³. The density of states at the Fermi level is 0.72 states/eV/cell. The calculation puts the calculated volume at 25.423 Å³/atom.

=====

(12)
Material: Mg6Tl5Hg
Method: DFT, PBE
State: relaxed

Cell: 9.039 9.039 9.039 Å, 147.39 132.22 59.05°
Atoms (fractional coordinates):
Mg: 0.079 0.341 0.738
Mg: 0.228 0.000 0.228
Mg: 0.397 0.659 0.738
Mg: 0.603 0.341 0.262
Mg: 0.772 0.000 0.772
Mg: 0.921 0.659 0.262
Tl: 0.177 0.177 0.000
Tl: 0.338 0.838 0.500
Tl: 0.500 0.500 0.000
Tl: 0.662 0.162 0.500
Tl: 0.823 0.823 0.000
Hg: 0.000 0.500 0.500

Its space group is Immm (71). Its calculated total energy is -22.446 eV/cell. The density comes out at 7.77 g/cm³. The density of states at the Fermi level is 4.65 states/eV/cell. The calculation puts the calculated volume at 24.356 Å³/atom.

=====

(13)
Material: Mg8Tl2Hg3
Method: DFT, PBE
State: relaxed

Cell: 8.567 4.709 8.599 Å, 90.00 111.72 90.00°
Atoms (fractional coordinates):
Mg: 0.120 0.000 0.384
Mg: 0.123 0.500 0.876
Mg: 0.374 0.000 0.127
Mg: 0.374 0.500 0.624
Mg: 0.626 0.000 0.873
Mg: 0.626 0.500 0.376
Mg: 0.877 0.500 0.124
Mg: 0.880 0.000 0.616
Tl: 0.245 0.500 0.257
Tl: 0.755 0.500 0.743
Hg: 0.242 0.000 0.745
Hg: 0.500 0.500 0.000
Hg: 0.758 0.000 0.255

Its space group is P2/m (10). Its calculated total energy is -19.402 eV/cell. The density comes out at 6.21 g/cm³. The density of states at the Fermi level is 4.66 states/eV/cell. The calculation puts the calculated volume at 24.790 Å³/atom.

=====

(14)
Material: MgTl7Hg4
Method: DFT, PBE
State: relaxed

Cell: 7.536 7.536 11.444 Å, 121.47 121.47 44.04°
Atoms (fractional coordinates):
Mg: 0.000 0.000 0.000
Tl: 0.080 0.080 0.339
Tl: 0.210 0.210 0.894
Tl: 0.354 0.354 0.426
Tl: 0.500 0.500 0.000
Tl: 0.646 0.646 0.574
Tl: 0.790 0.790 0.106
Tl: 0.920 0.920 0.661
Hg: 0.280 0.280 0.675
Hg: 0.434 0.434 0.224
Hg: 0.566 0.566 0.776
Hg: 0.720 0.720 0.325

Its space group is C2/m (12). Its calculated total energy is -18.584 eV/cell. The density comes out at 10.04 g/cm³. The density of states at the Fermi level is 5.30 states/eV/cell. The calculation puts the calculated volume at 31.108 Å³/atom.

=====

(15)
Material: Mg15Tl4Hg
Method: DFT, PBE
State: relaxed

Cell: 4.548 4.548 22.074 Å, 90.00 90.00 90.00°
Atoms (fractional coordinates):
Mg: 0.000 0.000 0.000
Mg: 0.000 0.000 0.196
Mg: 0.000 0.000 0.399
Mg: 0.000 0.000 0.601
Mg: 0.000 0.000 0.804
Mg: 0.000 0.500 0.095
Mg: 0.000 0.500 0.297
Mg: 0.000 0.500 0.500
Mg: 0.000 0.500 0.703
Mg: 0.000 0.500 0.905
Mg: 0.500 0.000 0.095
Mg: 0.500 0.000 0.297
Mg: 0.500 0.000 0.500
Mg: 0.500 0.000 0.703
Mg: 0.500 0.000 0.905
Tl: 0.500 0.500 0.197
Tl: 0.500 0.500 0.399
Tl: 0.500 0.500 0.601
Tl: 0.500 0.500 0.803
Hg: 0.500 0.500 0.000

Its space group is P4/mmm (123). Its calculated total energy is -34.860 eV/cell. The density comes out at 5.03 g/cm³. The density of states at the Fermi level is 5.79 states/eV/cell. The calculation puts the calculated volume at 22.828 Å³/atom.

=====

(16)
Material: Mg2TlHg10
Method: DFT, PBE
State: relaxed

Cell: 10.213 7.988 7.827 Å, 80.45 50.47 49.09°
Atoms (fractional coordinates):
Mg: 0.000 0.500 0.000
Mg: 0.500 0.000 0.500
Tl: 0.000 0.000 0.000
Hg: 0.000 0.000 0.500
Hg: 0.011 0.338 0.662
Hg: 0.283 0.496 0.504
Hg: 0.338 0.011 0.989
Hg: 0.496 0.283 0.717
Hg: 0.500 0.500 0.000
Hg: 0.504 0.717 0.283
Hg: 0.662 0.989 0.011
Hg: 0.717 0.504 0.496
Hg: 0.989 0.662 0.338

Its space group is Fmmm (69). Its calculated total energy is -8.902 eV/cell. The density comes out at 11.17 g/cm³. The density of states at the Fermi level is 4.01 states/eV/cell. The calculation puts the calculated volume at 25.837 Å³/atom.

=====

(17)
Material: MgTl6Hg12
Method: DFT, PBE
State: relaxed

Cell: 8.233 8.233 8.233 Å, 78.72 78.72 78.72°
Atoms (fractional coordinates):
Mg: 0.000 0.000 0.000
Tl: 0.137 0.137 0.504
Tl: 0.137 0.504 0.137
Tl: 0.496 0.863 0.863
Tl: 0.504 0.137 0.137
Tl: 0.863 0.496 0.863
Tl: 0.863 0.863 0.496
Hg: 0.148 0.769 0.769
Hg: 0.197 0.520 0.520
Hg: 0.231 0.231 0.852
Hg: 0.231 0.852 0.231
Hg: 0.480 0.480 0.803
Hg: 0.480 0.803 0.480
Hg: 0.520 0.197 0.520
Hg: 0.520 0.520 0.197
Hg: 0.769 0.148 0.769
Hg: 0.769 0.769 0.148
Hg: 0.803 0.480 0.480
Hg: 0.852 0.231 0.231

Its space group is R-3m (166). Its calculated total energy is -19.670 eV/cell. The density comes out at 11.47 g/cm³. The density of states at the Fermi level is 7.31 states/eV/cell. The calculation puts the calculated volume at 27.864 Å³/atom.

=====

(18)
Material: Mg12Tl5Hg2
Method: DFT, PBE
State: relaxed

Cell: 9.406 9.406 5.880 Å, 102.97 102.97 65.47°
Atoms (fractional coordinates):
Mg: 0.047 0.564 0.790
Mg: 0.048 0.048 0.286
Mg: 0.149 0.654 0.365
Mg: 0.346 0.851 0.635
Mg: 0.398 0.398 0.985
Mg: 0.436 0.953 0.210
Mg: 0.564 0.047 0.790
Mg: 0.602 0.602 0.015
Mg: 0.654 0.149 0.365
Mg: 0.851 0.346 0.635
Mg: 0.952 0.952 0.714
Mg: 0.953 0.436 0.210
Tl: 0.183 0.183 0.864
Tl: 0.290 0.290 0.449
Tl: 0.500 0.500 0.500
Tl: 0.710 0.710 0.551
Tl: 0.817 0.817 0.136
Hg: 0.250 0.750 0.000
Hg: 0.750 0.250 0.000

Its space group is C2/m (12). The density comes out at 6.24 g/cm³. The density of states at the Fermi level is 6.97 states/eV/cell. The distance to the lowest polymorph of the same formula comes out at 0.00 eV per formula unit. The calculation puts the calculated volume at 24.004 Å³/atom.

=====

(19)
Material: Mg2TlHg7
Method: DFT, PBE
State: relaxed

Cell: 8.748 8.748 4.767 Å, 90.00 90.00 123.80°
Atoms (fractional coordinates):
Mg: 0.191 0.809 0.000
Mg: 0.809 0.191 0.000
Tl: 0.500 0.500 0.500
Hg: 0.000 0.000 0.000
Hg: 0.194 0.428 0.000
Hg: 0.285 0.715 0.500
Hg: 0.428 0.194 0.000
Hg: 0.572 0.806 0.000
Hg: 0.715 0.285 0.500
Hg: 0.806 0.572 0.000

Its space group is Cmmm (65). The density comes out at 9.08 g/cm³. The density of states at the Fermi level is 2.85 states/eV/cell. The distance to the lowest polymorph of the same formula comes out at 0.51 eV per formula unit. The calculation puts the calculated volume at 30.314 Å³/atom.

=====

(20)
Material: MgTlHg2
Method: DFT, PBE
State: relaxed

Cell: 5.884 5.884 5.884 Å, 134.71 134.71 65.98°
Atoms (fractional coordinates):
Mg: 0.000 0.000 0.000
Tl: 0.250 0.750 0.500
Hg: 0.500 0.500 0.000
Hg: 0.750 0.250 0.500

Its space group is I-4m2 (119). Its calculated total energy is -4.740 eV/cell. The density comes out at 10.32 g/cm³. The density of states at the Fermi level is 1.34 states/eV/cell. The calculation puts the calculated volume at 25.328 Å³/atom.